# CePr6Sm2Ho

A relaxed structure of CePr6Sm2Ho (PBE, Alexandria via LeMat-Bulk).

Results
Its formation energy is 0.23 eV per atom.

Structure (POSCAR):
```
CePr6Sm2Ho
1.0
-1.787 8.264 2.999
-5.846 0.201 -4.037
0.254 -3.575 5.710
Pr Sm Ho Ce
6 2 1 1
Direct
0.204 0.588 0.647
0.796 0.412 0.353
0.586 0.377 0.755
0.414 0.623 0.245
0.204 0.059 0.647
0.796 0.941 0.353
0.166 0.089 0.178
0.834 0.911 0.822
0.500 0.000 0.000
0.000 0.500 0.000
```

=====

# Ho3Ni9SnGe2

A relaxed structure of Ho3Ni9SnGe2 (PBE, Alexandria via LeMat-Bulk).

Results
Its formation energy is -0.19 eV per atom.

Structure (POSCAR):
```
Ho3Ni9SnGe2
1.0
-4.901 3.309 0.449
1.147 -4.167 4.061
4.544 6.061 4.934
Ni Ge Ho Sn
9 2 3 1
Direct
0.268 0.134 0.733
0.134 0.866 0.267
0.866 0.134 0.733
0.000 0.500 0.000
0.866 0.732 0.733
0.134 0.268 0.267
0.500 0.000 0.000
0.732 0.866 0.267
0.500 0.500 0.000
0.333 0.667 0.176
0.667 0.333 0.824
0.667 0.333 0.267
0.000 0.000 0.000
0.333 0.667 0.733
0.000 0.000 0.500
```